Record 1
The following is a meta-GGA SCAN calculation of a PBEsol-optimized structure of Ba3Sr, from the Alexandria database.

```
Ba3Sr
1.0
6.129 0.000 0.000
0.000 6.129 0.000
0.000 0.000 6.129
Ba Sr
3 1
direct
0.000 0.000 0.500
0.000 0.500 0.000
0.500 0.000 0.000
0.500 0.500 0.500
```

Calculated values
Space group: Pm-3m (221)
Distance to the lowest polymorph of the same formula in eV/f.u.: 0.11

Record 2
The following is a meta-GGA SCAN calculation of a PBEsol-optimized structure of Ba3Sr, from the Alexandria database.

```
Ba3Sr
1.0
4.185 0.000 0.000
0.000 6.837 0.000
-1.368 0.000 7.871
Ba Sr
3 1
direct
0.000 0.000 0.000
0.249 0.500 0.749
0.751 0.500 0.251
0.500 0.000 0.500
```

Calculated values
Space group: P2/m (10)
Distance to the lowest polymorph of the same formula in eV/f.u.: 0.00

Record 3
The following is a meta-GGA SCAN calculation of a PBEsol-optimized structure of Ba5Sr, from the Alexandria database.

```
Ba5Sr
1.0
4.378 0.000 0.000
0.000 4.378 0.000
0.000 0.000 18.064
Ba Sr
5 1
direct
0.000 0.000 0.000
0.000 0.000 0.338
0.000 0.000 0.662
0.500 0.500 0.169
0.500 0.500 0.831
0.500 0.500 0.500
```

Calculated values
Space group: P4/mmm (123)
Distance to the lowest polymorph of the same formula in eV/f.u.: 0.02

Record 4
The following is a meta-GGA SCAN calculation of a PBEsol-optimized structure of Ba2Sr, from the Alexandria database.

```
Ba2Sr
1.0
7.980 -2.137 0.000
7.980 2.137 0.000
-2.779 0.000 9.849
Ba Sr
4 2
direct
0.000 0.000 0.000
0.056 0.056 0.610
0.332 0.332 0.666
0.667 0.667 0.331
0.387 0.387 0.275
0.723 0.723 0.946
```

Calculated values
Space group: Cm (8)
Distance to the lowest polymorph of the same formula in eV/f.u.: 0.05

Record 5
The following is a meta-GGA SCAN calculation of a PBEsol-optimized structure of Ba5Sr3, from the Alexandria database.

```
Ba5Sr3
1.0
-7.740 7.740 3.807
7.740 -7.740 3.807
7.740 7.740 -3.807
Ba Sr
10 6
direct
0.073 0.771 0.843
0.229 0.073 0.302
0.250 0.750 0.500
0.271 0.573 0.843
0.427 0.271 0.698
0.573 0.729 0.302
0.729 0.427 0.157
0.750 0.250 0.500
0.771 0.927 0.698
0.927 0.229 0.157
0.177 0.323 0.500
0.250 0.250 0.000
0.323 0.823 0.146
0.677 0.177 0.854
0.750 0.750 0.000
0.823 0.677 0.500
```

Calculated values
Space group: I4/mcm (140)
Distance to the lowest polymorph of the same formula in eV/f.u.: 0.57

Record 6
The following is a meta-GGA SCAN calculation of a PBEsol-optimized structure of Ba3Sr, from the Alexandria database.

```
Ba3Sr
1.0
7.071 0.000 0.000
0.000 8.590 0.000
0.000 0.000 7.467
Ba Sr
6 2
direct
0.250 0.001 0.166
0.250 0.499 0.166
0.250 0.750 0.666
0.750 0.250 0.334
0.750 0.501 0.834
0.750 0.999 0.834
0.250 0.250 0.667
0.750 0.750 0.333
```

Calculated values
Space group: Pmmn (59)
Distance to the lowest polymorph of the same formula in eV/f.u.: 0.08

Record 7
The following is a meta-GGA SCAN calculation of a PBEsol-optimized structure of Ba3Sr, from the Alexandria database.

```
Ba3Sr
1.0
0.000 4.837 4.837
4.837 0.000 4.837
4.837 4.837 0.000
Ba Sr
3 1
direct
0.000 0.000 0.000
0.250 0.250 0.250
0.750 0.750 0.750
0.500 0.500 0.500
```

Calculated values
Space group: Fm-3m (225)
Distance to the lowest polymorph of the same formula in eV/f.u.: 0.02

Record 8
The following is a meta-GGA SCAN calculation of a PBEsol-optimized structure of Ba5Sr3, from the Alexandria database.

```
Ba5Sr3
1.0
4.806 -6.791 0.000
4.806 6.791 0.000
0.000 0.000 6.803
Ba Sr
5 3
direct
0.000 0.000 0.000
0.000 0.500 0.000
0.251 0.251 0.500
0.500 0.000 0.000
0.749 0.749 0.500
0.249 0.751 0.500
0.500 0.500 0.000
0.751 0.249 0.500
```

Calculated values
Space group: Cmmm (65)
Distance to the lowest polymorph of the same formula in eV/f.u.: 0.00

Number 1: DFT formation energy 0.033 eV/atom, total DFT energy (no corrections) -35.198 eV per atom, D(E_F) 1.419 states/eV per atom. Number 2: DFT formation energy 0.006 eV/atom, total DFT energy (no corrections) -35.225 eV per atom, D(E_F) 1.165 states/eV per atom. Number 3: DFT formation energy 0.030 eV/atom, total DFT energy (no corrections) -36.641 eV per atom, D(E_F) 1.216 states/eV per atom. Number 4: DFT formation energy 0.029 eV/atom, total DFT energy (no corrections) -33.763 eV per atom, D(E_F) 1.291 states/eV per atom. Number 5: DFT formation energy 0.084 eV/atom, total DFT energy (no corrections) -32.988 eV per atom, D(E_F) 1.301 states/eV per atom. Number 6: DFT formation energy 0.025 eV/atom, total DFT energy (no corrections) -35.206 eV per atom, D(E_F) 1.227 states/eV per atom. Number 7: DFT formation energy 0.011 eV/atom, total DFT energy (no corrections) -35.220 eV per atom, D(E_F) 1.504 states/eV per atom. Number 8: DFT formation energy 0.013 eV/atom, total DFT energy (no corrections) -33.059 eV per atom, D(E_F) 1.106 states/eV per atom.